(1)
Below is a geometry-optimized GePtSCl2 structure, with properties calculated at the PBE level.

- Space-group type: No. 123
- Polymorph energy (0 for the lowest one): 0 meV/atom

Cell and atoms, written as POSCAR:
```
GePtSCl2
1.0
-1.6502 -3.9662 2.1792
4.5182 -1.3128 1.0322
-0.2561 2.3983 4.1711
Ge S Pt Cl
1 1 1 2
Cartesian
1.3059 -1.4403 3.6913
-0.1280 1.1992 2.0856
0.0000 0.0000 0.0000
2.2591 -0.6564 0.5161
-0.8251 -1.9831 1.0896
```


(2)
Below is a geometry-optimized ZrAg2TeAs structure, with properties calculated at the PBE level.

- Space-group type: No. 123
- DFT total energy: -3.613 eV/atom

Cell and atoms, written as POSCAR:
```
ZrAg2TeAs
1.0
-3.0541 -0.7351 -4.3660
4.3825 -1.2558 -2.8542
-0.5948 -4.8945 1.2402
As Te Zr Ag
1 1 1 2
Cartesian
-0.2974 -2.4472 0.6201
0.3668 -3.4427 -2.9900
0.0000 0.0000 0.0000
2.1913 -0.6279 -1.4271
-1.5271 -0.3676 -2.1830
```


(3)
Below is a geometry-optimized Nb3IrPt2 structure, with properties calculated at the PBE level.

- Space-group type: No. 123
- Energy of formation from the pure elements: -0.6270 eV per atom

Cell and atoms, written as POSCAR:
```
Nb3IrPt2
1.0
-1.3540 -1.9849 1.5105
2.2291 -0.1917 1.7463
-4.8118 8.6816 7.0949
Nb Ir Pt
3 1 2
Cartesian
0.0000 0.0000 0.0000
-3.1772 5.7325 4.6848
-1.6346 2.9491 2.4101
-1.9684 3.2525 5.1759
-3.5711 6.1444 7.5392
-0.3656 0.3607 2.8126
```


(4)
Below is a geometry-optimized NiOs4Pb structure, with properties calculated at the PBE level.

- Space-group type: No. 216
- Energy of formation from the pure elements: 1.0577 eV per atom

Cell and atoms, written as POSCAR:
```
NiOs4Pb
1.0
0.7361 -4.3032 2.8992
-4.1237 -2.7522 1.6986
-1.0087 -4.7276 -2.0243
Ni Os Pb
1 4 1
Cartesian
0.0000 0.0000 0.0000
-1.2740 -6.5751 2.4228
-2.1526 -6.7888 -0.0566
-3.7213 -5.7941 1.8181
-1.6447 -4.4081 0.9628
-3.2972 -8.8373 1.9302
```